# 1
A plane-wave DFT calculation with PBE was carried out for a relaxed structure of KCaCd2Pt.

```
KCaCd2Pt
1.0
-1.6079 5.0949 0.6788
-4.9872 -1.7186 1.0854
1.2394 -0.3036 5.2139
Ca Cd K Pt
1 2 1 1
direct
0.0000 0.0000 0.5000 Ca
0.5000 0.0000 0.0000 Cd
0.0000 0.5000 0.0000 Cd
0.5000 0.5000 0.5000 K
0.0000 0.0000 0.0000 Pt
```

Values from the calculation:
Calculated total energy in eV/atom: -2.525
Formation energy in eV/f.u.: -1.7



# 2
A plane-wave DFT calculation with PBE was carried out for a relaxed structure of KSeS.

```
KSeS
1.0
-1.1128 3.4016 1.2821
-2.5787 -1.6838 2.2290
5.6181 -1.1787 2.3671
Se S K
1 1 1
direct
0.2707 0.2707 0.5415 Se
0.7320 0.7320 0.4640 S
0.9973 0.9973 0.9945 K
```

Values from the calculation:
Calculated total energy in eV/atom: -3.301
Uncorrected formation energy in eV/atom: -0.40



# 3
A plane-wave DFT calculation with PBE was carried out for a relaxed structure of AlZnCd3.

```
AlZnCd3
1.0
5.2916 0.0000 0.0000
0.0000 5.2916 0.0000
0.0000 0.0000 5.2916
Cd Al Zn
3 1 1
direct
0.0000 0.5000 0.0000 Cd
0.0000 0.0000 0.5000 Cd
0.5000 0.0000 0.0000 Cd
0.0000 0.0000 0.0000 Al
0.5000 0.5000 0.5000 Zn
```

Values from the calculation:
Calculated total energy in eV/atom: -1.156
Formation energy in eV/f.u.: 2.0



# 4
A plane-wave DFT calculation with PBE was carried out for a relaxed structure of Na3Au.

```
Na3Au
1.0
-1.7200 -3.3653 3.5735
3.3610 -3.0860 2.4967
1.0229 0.8050 5.0358
Na Au
3 1
direct
0.5000 0.5000 0.5000 Na
0.7500 0.7500 0.7500 Na
0.2500 0.2500 0.2500 Na
0.0000 0.0000 0.0000 Au
```

Values from the calculation:
Calculated total energy in eV/atom: -1.992
Formation energy in eV/f.u.: -0.7



# 5
A plane-wave DFT calculation with PBE was carried out for a relaxed structure of NiOs3.

```
NiOs3
1.0
3.7918 0.0000 0.0000
0.0000 3.7918 0.0000
0.0000 0.0000 3.7918
Os Ni
3 1
direct
0.5000 0.5000 0.0000 Os
0.5000 0.0000 0.5000 Os
0.0000 0.5000 0.5000 Os
0.0000 0.0000 0.0000 Ni
```

Values from the calculation:
Calculated total energy in eV/atom: -9.602
Formation energy in eV/f.u.: 1.1



# 6
A plane-wave DFT calculation with PBE was carried out for a relaxed structure of AcEuTeCl.

```
AcEuTeCl
1.0
5.5381 0.0000 0.0000
2.7691 4.7962 0.0000
2.7691 1.5987 4.5219
Ac Eu Te Cl
1 1 1 1
direct
0.0000 0.0000 0.0000 Ac
0.5000 0.5000 0.5000 Eu
0.2500 0.2500 0.2500 Te
0.7500 0.7500 0.7500 Cl
```

Values from the calculation:
Calculated total energy in eV/atom: -6.216
Uncorrected formation energy in eV/atom: -1.37



# 7
A plane-wave DFT calculation with PBE was carried out for a relaxed structure of ZrCoSn2Cl.

```
ZrCoSn2Cl
1.0
-2.7385 1.1710 -4.3307
-3.6626 -2.3797 1.6726
-1.7847 4.3707 2.3103
Zr Sn Co Cl
1 2 1 1
direct
0.0000 0.5000 0.0000 Zr
0.5000 0.0000 0.0000 Sn
0.0000 0.0000 0.5000 Sn
0.5000 0.5000 0.5000 Co
0.0000 0.0000 0.0000 Cl
```

Values from the calculation:
Calculated total energy in eV/atom: -4.219
Uncorrected formation energy in eV/atom: 0.88



# 8
A plane-wave DFT calculation with PBE was carried out for a relaxed structure of Ho5Tl2Pt2.

```
Ho5Tl2Pt2
1.0
-1.6876 -7.1017 0.7373
5.2733 -0.6017 6.2746
-8.3998 2.1920 1.8875
Tl Ho Pt
4 10 4
direct
0.0000 0.2159 0.4319 Tl
0.5000 0.7159 0.4319 Tl
0.5000 0.2841 0.5681 Tl
0.0000 0.7841 0.5681 Tl
0.8406 0.7958 0.2374 Ho
0.5000 0.5000 0.0000 Ho
0.1594 0.4416 0.2374 Ho
0.6594 0.2958 0.2374 Ho
0.1594 0.2042 0.7626 Ho
0.0000 0.0000 0.0000 Ho
0.6594 0.0584 0.7626 Ho
0.3406 0.7042 0.7626 Ho
0.3406 0.9416 0.2374 Ho
0.8406 0.5584 0.7626 Ho
0.3646 0.1294 0.0000 Pt
0.8646 0.3706 0.0000 Pt
0.1354 0.6294 0.0000 Pt
0.6354 0.8706 0.0000 Pt
```

Values from the calculation:
Calculated total energy in eV/atom: -5.154
Formation energy in eV/f.u.: -6.7



> Among the records above, which one has the lowest calculated total energy?

NiOs3



Repeat the seventh record exactly.
A plane-wave DFT calculation with PBE was carried out for a relaxed structure of ZrCoSn2Cl.

```
ZrCoSn2Cl
1.0
-2.7385 1.1710 -4.3307
-3.6626 -2.3797 1.6726
-1.7847 4.3707 2.3103
Zr Sn Co Cl
1 2 1 1
direct
0.0000 0.5000 0.0000 Zr
0.5000 0.0000 0.0000 Sn
0.0000 0.0000 0.5000 Sn
0.5000 0.5000 0.5000 Co
0.0000 0.0000 0.0000 Cl
```

Values from the calculation:
Calculated total energy in eV/atom: -4.219
Uncorrected formation energy in eV/atom: 0.88



> Which value of calculated total energy does entry 6 give?

-6.216 eV/atom



> Which value of calculated total energy does entry 4 give?

-1.992 eV/atom